Entry 1:
## Sc2Cr (PBE-GGA)

Data for a geometry-optimized Sc2Cr structure.

Results
**Crystal system**: cubic
**Symmetry**: No. 227
**VASP energy**: -0.2468 Ha/atom
**Magnetic moment**: 6.99 μB/cell
**Energy of formation from the pure elements**: 0.714 eV per atom

Cell lengths 5.731, 5.731, 5.731 Å; angles 60.00, 60.00, 60.00 degrees
Sites, in units of the cell vectors:
Sc  0.625  0.625  0.625
Sc  0.125  0.625  0.625
Sc  0.625  0.125  0.625
Sc  0.625  0.625  0.125
Cr  0.000  0.000  0.000
Cr  0.250  0.250  0.250


Entry 2:
## Sc2Cr (PBE-GGA)

Data for a geometry-optimized Sc2Cr structure.

Results
**Crystal system**: tetragonal
**Symmetry**: No. 141
**VASP energy**: -0.2629 Ha/atom
**Magnetic moment**: 3.99 μB/cell
**Energy of formation from the pure elements**: 0.275 eV per atom

Cell lengths 12.814, 12.814, 12.814 Å; angles 165.80, 165.80, 20.13 degrees
Sites, in units of the cell vectors:
Sc  0.316  0.816  0.500
Sc  0.184  0.684  0.500
Sc  0.566  0.566  0.000
Sc  0.434  0.434  0.000
Cr  0.000  0.000  0.000
Cr  0.750  0.250  0.500


Entry 3:
## ScCr (PBE-GGA)

Data for a geometry-optimized ScCr structure.

Results
**Crystal system**: cubic
**Symmetry**: No. 227
**VASP energy**: -0.2764 Ha/atom
**Magnetic moment**: 0.00 μB/cell
**Energy of formation from the pure elements**: 0.456 eV per atom

Cell lengths 4.506, 4.506, 4.506 Å; angles 60.00, 60.00, 60.00 degrees
Sites, in units of the cell vectors:
Cr  0.000  0.000  0.000
Cr  0.250  0.250  0.250
Sc  0.750  0.750  0.750
Sc  0.500  0.500  0.500


Entry 4:
## ScCr (PBE-GGA)

Data for a geometry-optimized ScCr structure.

Results
**Crystal system**: orthorhombic
**Symmetry**: No. 44
**VASP energy**: -0.2814 Ha/atom
**Magnetic moment**: 3.33 μB/cell
**Energy of formation from the pure elements**: 0.321 eV per atom

Cell lengths 12.715, 3.116, 5.608 Å; angles 90.00, 90.00, 90.00 degrees
Sites, in units of the cell vectors:
Sc  0.794  0.000  0.824
Sc  0.206  0.000  0.824
Sc  0.294  0.500  0.324
Sc  0.706  0.500  0.324
Sc  0.000  0.500  0.053
Sc  0.500  0.000  0.553
Cr  0.890  0.000  0.372
Cr  0.110  0.000  0.372
Cr  0.390  0.500  0.872
Cr  0.610  0.500  0.872
Cr  0.000  0.500  0.558
Cr  0.500  0.000  0.058


Entry 5:
## Sc2Cr (PBE-GGA)

Data for a geometry-optimized Sc2Cr structure.

Results
**Crystal system**: orthorhombic
**Symmetry**: No. 62
**VASP energy**: -0.2655 Ha/atom
**Magnetic moment**: 9.15 μB/cell
**Energy of formation from the pure elements**: 0.204 eV per atom

Cell lengths 5.934, 4.767, 8.626 Å; angles 90.00, 90.00, 90.00 degrees
Sites, in units of the cell vectors:
Sc  0.038  0.250  0.212
Sc  0.182  0.250  0.564
Sc  0.318  0.750  0.064
Sc  0.462  0.750  0.712
Sc  0.538  0.250  0.288
Sc  0.682  0.250  0.936
Sc  0.818  0.750  0.436
Sc  0.962  0.750  0.788
Cr  0.201  0.250  0.889
Cr  0.299  0.750  0.389
Cr  0.701  0.250  0.611
Cr  0.799  0.750  0.111


Entry 6:
## Sc5Cr (PBE-GGA)

Data for a geometry-optimized Sc5Cr structure.

Results
**Crystal system**: hexagonal
**Symmetry**: No. 191
**VASP energy**: -0.2286 Ha/atom
**Magnetic moment**: 3.17 μB/cell
**Energy of formation from the pure elements**: 0.661 eV per atom

Cell lengths 5.783, 5.783, 5.277 Å; angles 90.00, 90.00, 120.00 degrees
Sites, in units of the cell vectors:
Sc  0.000  0.500  0.500
Sc  0.333  0.667  0.000
Sc  0.500  0.000  0.500
Sc  0.500  0.500  0.500
Sc  0.667  0.333  0.000
Cr  0.000  0.000  0.000


Entry 7:
## ScCr (PBE-GGA)

Data for a geometry-optimized ScCr structure.

Results
**Crystal system**: hexagonal
**Symmetry**: No. 187
**VASP energy**: -0.2749 Ha/atom
**Magnetic moment**: 2.26 μB/cell
**Energy of formation from the pure elements**: 0.498 eV per atom

Cell lengths 3.092, 3.092, 4.400 Å; angles 90.00, 90.00, 120.00 degrees
Sites, in units of the cell vectors:
Cr  0.000  0.000  0.000
Sc  0.333  0.667  0.500


Entry 8:
## ScCr (PBE-GGA)

Data for a geometry-optimized ScCr structure.

Results
**Crystal system**: cubic
**Symmetry**: No. 216
**VASP energy**: -0.2270 Ha/atom
**Magnetic moment**: 4.71 μB/cell
**Energy of formation from the pure elements**: 1.801 eV per atom

Cell lengths 4.376, 4.376, 4.376 Å; angles 60.00, 60.00, 60.00 degrees
Sites, in units of the cell vectors:
Cr  0.000  0.000  0.000
Sc  0.750  0.750  0.750


Entry 9:
## ScCr (PBE-GGA)

Data for a geometry-optimized ScCr structure.

Results
**Crystal system**: orthorhombic
**Symmetry**: No. 63
**VASP energy**: -0.2804 Ha/atom
**Magnetic moment**: 0.00 μB/cell
**Energy of formation from the pure elements**: 0.348 eV per atom

Cell lengths 3.149, 5.906, 3.892 Å; angles 90.00, 90.00, 105.46 degrees
Sites, in units of the cell vectors:
Cr  0.448  0.896  0.250
Cr  0.552  0.104  0.750
Sc  0.160  0.321  0.250
Sc  0.840  0.679  0.750


Entry 10:
## ScCr (PBE-GGA)

Data for a geometry-optimized ScCr structure.

Results
**Crystal system**: hexagonal
**Symmetry**: No. 186
**VASP energy**: -0.2680 Ha/atom
**Magnetic moment**: 3.32 μB/cell
**Energy of formation from the pure elements**: 0.685 eV per atom

Cell lengths 2.984, 2.984, 9.490 Å; angles 90.00, 90.00, 120.00 degrees
Sites, in units of the cell vectors:
Cr  0.333  0.667  0.046
Cr  0.667  0.333  0.546
Sc  0.333  0.667  0.325
Sc  0.667  0.333  0.825


Entry 11:
## Sc5Cr4 (PBE-GGA)

Data for a geometry-optimized Sc5Cr4 structure.

Results
**Crystal system**: tetragonal
**Symmetry**: No. 139
**VASP energy**: -0.2712 Ha/atom
**Magnetic moment**: 10.59 μB/cell
**Energy of formation from the pure elements**: 0.414 eV per atom

Cell lengths 6.546, 6.546, 6.546 Å; angles 96.45, 96.45, 140.82 degrees
Sites, in units of the cell vectors:
Sc  0.000  0.000  0.000
Sc  0.676  0.324  0.000
Sc  0.676  0.676  0.353
Sc  0.324  0.324  0.647
Sc  0.324  0.676  0.000
Cr  0.000  0.356  0.356
Cr  0.000  0.644  0.644
Cr  0.644  0.000  0.644
Cr  0.356  0.000  0.356


Entry 12:
## Sc7Cr (PBE-GGA)

Data for a geometry-optimized Sc7Cr structure.

Results
**Crystal system**: cubic
**Symmetry**: No. 225
**VASP energy**: -0.2419 Ha/atom
**Magnetic moment**: 1.34 μB/cell
**Energy of formation from the pure elements**: 0.162 eV per atom

Cell lengths 6.382, 6.382, 6.382 Å; angles 60.00, 60.00, 60.00 degrees
Sites, in units of the cell vectors:
Sc  0.000  0.500  0.500
Sc  0.500  0.000  0.500
Sc  0.500  0.500  0.000
Sc  0.000  0.000  0.500
Sc  0.000  0.500  0.000
Sc  0.500  0.000  0.000
Sc  0.500  0.500  0.500
Cr  0.000  0.000  0.000


Entry 13:
## Sc2Cr (PBE-GGA)

Data for a geometry-optimized Sc2Cr structure.

Results
**Crystal system**: tetragonal
**Symmetry**: No. 123
**VASP energy**: -0.2555 Ha/atom
**Magnetic moment**: 2.59 μB/cell
**Energy of formation from the pure elements**: 0.476 eV per atom

Cell lengths 4.712, 4.712, 3.065 Å; angles 90.00, 90.00, 90.00 degrees
Sites, in units of the cell vectors:
Cr  0.000  0.000  0.000
Sc  0.000  0.500  0.500
Sc  0.500  0.000  0.500


Entry 14:
## ScCr (PBE-GGA)

Data for a geometry-optimized ScCr structure.

Results
**Crystal system**: cubic
**Symmetry**: No. 198
**VASP energy**: -0.2775 Ha/atom
**Magnetic moment**: 11.91 μB/cell
**Energy of formation from the pure elements**: 0.426 eV per atom

Cell lengths 5.316, 5.316, 5.316 Å; angles 90.00, 90.00, 90.00 degrees
Sites, in units of the cell vectors:
Sc  0.092  0.092  0.092
Sc  0.408  0.908  0.592
Sc  0.908  0.592  0.408
Sc  0.592  0.408  0.908
Cr  0.396  0.396  0.396
Cr  0.104  0.604  0.896
Cr  0.604  0.896  0.104
Cr  0.896  0.104  0.604


Entry 15:
## ScCr (PBE-GGA)

Data for a geometry-optimized ScCr structure.

Results
**Crystal system**: tetragonal
**Symmetry**: No. 129
**VASP energy**: -0.2876 Ha/atom
**Magnetic moment**: 0.00 μB/cell
**Energy of formation from the pure elements**: 0.151 eV per atom

Cell lengths 3.022, 3.022, 7.550 Å; angles 90.00, 90.00, 90.00 degrees
Sites, in units of the cell vectors:
Sc  0.000  0.500  0.817
Sc  0.500  0.000  0.183
Cr  0.000  0.500  0.423
Cr  0.500  0.000  0.577


Entry 16:
## ScCr (PBE-GGA)

Data for a geometry-optimized ScCr structure.

Results
**Crystal system**: orthorhombic
**Symmetry**: No. 70
**VASP energy**: -0.2806 Ha/atom
**Magnetic moment**: 0.01 μB/cell
**Energy of formation from the pure elements**: 0.342 eV per atom

Cell lengths 5.193, 12.733, 8.520 Å; angles 90.00, 90.00, 90.00 degrees
Sites, in units of the cell vectors:
Sc  0.000  0.000  0.665
Sc  0.000  0.000  0.335
Sc  0.250  0.750  0.585
Sc  0.250  0.750  0.915
Sc  0.000  0.500  0.165
Sc  0.000  0.500  0.835
Sc  0.250  0.250  0.085
Sc  0.250  0.250  0.415
Sc  0.500  0.000  0.165
Sc  0.500  0.000  0.835
Sc  0.750  0.750  0.085
Sc  0.750  0.750  0.415
Sc  0.500  0.500  0.665
Sc  0.500  0.500  0.335
Sc  0.750  0.250  0.585
Sc  0.750  0.250  0.915
Cr  0.000  0.076  0.000
Cr  0.000  0.924  0.000
Cr  0.250  0.674  0.250
Cr  0.250  0.826  0.250
Cr  0.000  0.576  0.500
Cr  0.000  0.424  0.500
Cr  0.250  0.174  0.750
Cr  0.250  0.326  0.750
Cr  0.500  0.076  0.500
Cr  0.500  0.924  0.500
Cr  0.750  0.674  0.750
Cr  0.750  0.826  0.750
Cr  0.500  0.576  0.000
Cr  0.500  0.424  0.000
Cr  0.750  0.174  0.250
Cr  0.750  0.326  0.250


Entry 17:
## Sc2Cr (PBE-GGA)

Data for a geometry-optimized Sc2Cr structure.

Results
**Crystal system**: monoclinic
**Symmetry**: No. 8
**VASP energy**: -0.2619 Ha/atom
**Magnetic moment**: 5.15 μB/cell
**Energy of formation from the pure elements**: 0.303 eV per atom

Cell lengths 5.737, 5.737, 7.116 Å; angles 80.26, 80.26, 32.69 degrees
Sites, in units of the cell vectors:
Sc  0.662  0.662  0.681
Sc  0.599  0.599  0.252
Sc  0.938  0.938  0.599
Sc  0.305  0.305  0.969
Cr  0.016  0.016  0.975
Cr  0.313  0.313  0.356


Entry 18:
## ScCr (PBE-GGA)

Data for a geometry-optimized ScCr structure.

Results
**Crystal system**: trigonal
**Symmetry**: No. 164
**VASP energy**: -0.2795 Ha/atom
**Magnetic moment**: 0.00 μB/cell
**Energy of formation from the pure elements**: 0.373 eV per atom

Cell lengths 3.049, 3.049, 8.792 Å; angles 90.00, 90.00, 120.00 degrees
Sites, in units of the cell vectors:
Cr  0.000  0.000  0.041
Cr  0.333  0.667  0.209
Sc  0.000  0.000  0.458
Sc  0.333  0.667  0.792


Entry 19:
## ScCr (PBE-GGA)

Data for a geometry-optimized ScCr structure.

Results
**Crystal system**: orthorhombic
**Symmetry**: No. 59
**VASP energy**: -0.2746 Ha/atom
**Magnetic moment**: 6.10 μB/cell
**Energy of formation from the pure elements**: 0.504 eV per atom

Cell lengths 3.128, 4.941, 4.906 Å; angles 90.00, 90.00, 90.00 degrees
Sites, in units of the cell vectors:
Cr  0.000  0.000  0.021
Cr  0.500  0.500  0.813
Sc  0.000  0.500  0.305
Sc  0.500  0.000  0.528


Entry 20:
## ScCr (PBE-GGA)

Data for a geometry-optimized ScCr structure.

Results
**Crystal system**: cubic
**Symmetry**: No. 225
**VASP energy**: -0.2599 Ha/atom
**Magnetic moment**: 4.18 μB/cell
**Energy of formation from the pure elements**: 0.906 eV per atom

Cell lengths 3.937, 3.937, 3.937 Å; angles 60.00, 60.00, 60.00 degrees
Sites, in units of the cell vectors:
Cr  0.000  0.000  0.000
Sc  0.500  0.500  0.500